Run i
The following is a PBE calculation of an optimized crystal structure of TbCeEr6, from Alexandria.

The structure in CIF format:
```
data_TbCeEr6
_cell_length_a 4.974
_cell_length_b 4.974
_cell_length_c 9.923
_cell_angle_alpha 90.00
_cell_angle_beta 90.00
_cell_angle_gamma 90.00
_space_group_name_H-M_alt 'P 4/m m m'
_space_group_IT_number 123
_space_group_name_Hall '-P 4 2'
loop_
_atom_site_label
_atom_site_type_symbol
_atom_site_fract_x
_atom_site_fract_y
_atom_site_fract_z
_atom_site_occupancy
Tb1 Tb 0.000 0.000 0.000 1
Ce1 Ce 0.000 0.000 0.500 1
Er1 Er 0.000 0.500 0.251 1
Er2 Er 0.500 0.500 0.000 1
Er3 Er 0.500 0.500 0.500 1
```

Run ii
The following is a PBE calculation of an optimized crystal structure of TbCeEr6, from Alexandria.

The structure in CIF format:
```
data_TbCeEr6
_cell_length_a 6.427
_cell_length_b 6.700
_cell_length_c 6.840
_cell_angle_alpha 118.42
_cell_angle_beta 103.22
_cell_angle_gamma 90.80
_space_group_name_H-M_alt 'P -1'
_space_group_IT_number 2
loop_
_space_group_symop_operation_xyz
'x,y,z'
'-x,-y,-z'
loop_
_atom_site_label
_atom_site_type_symbol
_atom_site_fract_x
_atom_site_fract_y
_atom_site_fract_z
_atom_site_occupancy
Tb1 Tb 0.000 0.000 0.000 1
Ce1 Ce 0.500 0.000 0.000 1
Er1 Er 0.234 0.572 0.480 1
Er2 Er 0.251 0.548 0.000 1
Er3 Er 0.271 0.096 0.524 1
```

Which one sits at the bottom of the stability order? run ii does.

Run i
The following is a PBE calculation of an optimized crystal structure of Tb3CeEr, from Alexandria.

The structure in CIF format:
```
data_Tb3CeEr
_cell_length_a 9.308
_cell_length_b 7.332
_cell_length_c 9.334
_cell_angle_alpha 90.00
_cell_angle_beta 90.00
_cell_angle_gamma 90.00
_space_group_name_H-M_alt 'P n m a'
_space_group_IT_number 62
loop_
_space_group_symop_operation_xyz
'x,y,z'
'-x,-y,-z'
'-x+1/2,-y,z+1/2'
'x+1/2,y,-z+1/2'
'x+1/2,-y+1/2,-z+1/2'
'-x+1/2,y+1/2,z+1/2'
'-x,y+1/2,-z'
'x,-y+1/2,z'
loop_
_atom_site_label
_atom_site_type_symbol
_atom_site_fract_x
_atom_site_fract_y
_atom_site_fract_z
_atom_site_occupancy
Tb1 Tb 0.127 0.005 0.128 1
Tb2 Tb 0.171 0.250 0.826 1
Ce1 Ce 0.174 0.750 0.830 1
Er1 Er 0.000 0.000 0.500 1
```

Run ii
The following is a PBE calculation of an optimized crystal structure of Tb3CeEr, from Alexandria.

The structure in CIF format:
```
data_Tb3CeEr
_cell_length_a 5.334
_cell_length_b 10.978
_cell_length_c 10.707
_cell_angle_alpha 90.00
_cell_angle_beta 90.00
_cell_angle_gamma 90.00
_space_group_name_H-M_alt 'C m m m'
_space_group_IT_number 65
_space_group_name_Hall '-C 2 2'
loop_
_atom_site_label
_atom_site_type_symbol
_atom_site_fract_x
_atom_site_fract_y
_atom_site_fract_z
_atom_site_occupancy
Tb1 Tb 0.000 0.000 0.170 1
Tb2 Tb 0.000 0.347 0.309 1
Ce1 Ce 0.000 0.123 0.500 1
Er1 Er 0.000 0.343 0.000 1
```

Which one sits at the bottom of the stability order? run ii does.

Run i
The following is a PBE calculation of an optimized crystal structure of Tb7CeEr3, from Alexandria.

The structure in CIF format:
```
data_Tb7CeEr3
_cell_length_a 7.0338
_cell_length_b 7.0338
_cell_length_c 8.5590
_cell_angle_alpha 90.00
_cell_angle_beta 90.00
_cell_angle_gamma 120.00
_space_group_name_H-M_alt 'P 3 m 1'
_space_group_IT_number 156
loop_
_space_group_symop_operation_xyz
'x,y,z'
'-y,x-y,z'
'-x+y,-x,z'
'-y,-x,z'
'-x+y,y,z'
'x,x-y,z'
loop_
_atom_site_label
_atom_site_type_symbol
_atom_site_fract_x
_atom_site_fract_y
_atom_site_fract_z
_atom_site_occupancy
Tb1 Tb 0.0000 0.0000 0.9999 1
Tb2 Tb 0.1659 0.3318 0.6657 1
Tb3 Tb 0.5024 0.0049 0.0000 1
Ce1 Ce 0.6667 0.3333 0.6688 1
Er1 Er 0.3360 0.1680 0.3355 1
```

Run ii
The following is a PBE calculation of an optimized crystal structure of Tb7CeEr3, from Alexandria.

The structure in CIF format:
```
data_Tb7CeEr3
_cell_length_a 6.891
_cell_length_b 18.399
_cell_length_c 6.548
_cell_angle_alpha 90.00
_cell_angle_beta 121.69
_cell_angle_gamma 90.00
_space_group_name_H-M_alt 'C 1 2/m 1'
_space_group_IT_number 12
loop_
_space_group_symop_operation_xyz
'x,y,z'
'-x,-y,-z'
'-x,y,-z'
'x,-y,z'
'x+1/2,y+1/2,z'
'-x+1/2,-y+1/2,-z'
'-x+1/2,y+1/2,-z'
'x+1/2,-y+1/2,z'
loop_
_atom_site_label
_atom_site_type_symbol
_atom_site_fract_x
_atom_site_fract_y
_atom_site_fract_z
_atom_site_occupancy
Tb1 Tb 0.000 0.000 0.000 1
Tb2 Tb 0.000 0.412 0.000 1
Tb3 Tb 0.221 0.161 0.439 1
Ce1 Ce 0.000 0.500 0.500 1
Er1 Er 0.000 0.000 0.500 1
Er2 Er 0.250 0.250 0.000 1
```

Which one sits at the bottom of the stability order? run i does.